TaOs2Rh, optimized geometry, DFT GGA-PBE; formation energy = 2.94 kJ per mole of atoms; crystal system = tetragonal; space-group type = P4/mmm, No. 123; theoretical density = 18.12 g/cm³; M_tot = 0.0 μB/cell
1.0
-2.520 -0.945 -0.668
1.123 -2.387 -0.857
-0.809 -2.992 7.280
Ta Os Rh
1 2 1
Cartesian
-1.103 -3.162 2.877
-0.615 -2.275 5.535
-0.194 -0.717 1.745
-0.699 -1.666 -0.763